LaFeRe | GGA-PBE | optimized geometry

Results
As for the crystal system: tetragonal. The value obtained for the energy of formation from the pure elements is 0.3260 eV per atom. As for the total magnetization: 1.44 μB per cell.

a = 3.037 Å, b = 3.037 Å, c = 12.108 Å
α = 90.00°, β = 90.00°, γ = 90.00°
Space group I4mm (No. 107)
One atom of each set of equivalent atoms:
La1 0.000 0.000 0.000 x2
Fe1 0.000 0.000 0.698 x2
Re1 0.000 0.000 0.296 x2